{"formula": "ZrAlSi2", "functional": "GGA-PBE", "state": "relaxed", "cell": [[2.901, -3.893, 0.000], [2.901, 3.893, 0.000], [0.000, 0.000, 2.980]], "species": ["Zr", "Al", "Si", "Si"], "frac_coords": [[0.000, 0.000, 0.000], [0.500, 0.500, 0.000], [0.000, 0.500, 0.500], [0.500, 0.000, 0.500]], "rho_g_cm3": 4.3, "formation_energy_uncorrected_mev_per_atom": -181, "sg": "Cmmm (65)"}